1.
DFT (PBE+U) results for a relaxed structure of HfCoOF2.

Unit cell a=4.264 b=4.264 c=4.007 alpha=90.00 beta=90.00 gamma=90.00
Positions (direct):
Co1 0.500 0.500 0.500
Hf1 0.000 0.000 0.000
O1 0.000 0.000 0.500
F1 0.000 0.500 0.000
F2 0.500 0.000 0.000

Properties
Uncorrected energy (eV per atom): -6.809
Fermi-level density of states (states/eV/f.u.): 1.58
Spin magnetization (μB/f.u.): 2.4

2.
DFT (PBE+U) results for a relaxed structure of HfCoOF2.

Unit cell a=4.447 b=3.234 c=4.447 alpha=90.00 beta=90.00 gamma=90.00
Positions (direct):
Co1 0.000 0.500 0.000
Hf1 0.500 0.500 0.500
O1 0.000 0.000 0.000
F1 0.000 0.000 0.500
F2 0.500 0.000 0.000

Properties
Uncorrected energy (eV per atom): -5.340
Fermi-level density of states (states/eV/f.u.): 1.69
Spin magnetization (μB/f.u.): 0.0

3.
DFT (PBE+U) results for a relaxed structure of RbHfCoF2.

Unit cell a=5.025 b=4.333 c=5.025 alpha=90.00 beta=90.00 gamma=90.00
Positions (direct):
Co1 0.000 0.000 0.000
Hf1 0.000 0.500 0.000
Rb1 0.500 0.500 0.500
F1 0.000 0.000 0.500
F2 0.500 0.000 0.000

Properties
Uncorrected energy (eV per atom): -4.085
Fermi-level density of states (states/eV/f.u.): 1.42
Spin magnetization (μB/f.u.): 0.0